Entry from Alexandria: an optimized crystal structure of KRh2Br (GGA-PBE).

a = 3.3915 Å, b = 3.3820 Å, c = 8.0992 Å
α = 77.94°, β = 90.00°, γ = 90.00°
Closest atoms and distances in Å follow each position.
Fractional positions:
Br (0.0000, 0.3249, 0.4760)  2 Rh 2.77
K (0.5000, 0.6892, 0.7472)  4 Br 3.22, 4 K 3.38-3.39, 5 Rh 3.54-3.58
Rh (0.0000, 0.0235, 0.0773)  4 Rh 2.58
Rh (0.5000, 0.4623, 0.1994)  4 Rh 2.58, 2 Br 2.77

Properties
The calculation puts the density of states at the Fermi level at 3.6 states/eV/cell. The total DFT energy (no corrections) is -4.2710 eV per atom. The calculation puts the energy relative to the elements, uncorrected at 0.4 eV/f.u. Its energy relative to the lowest polymorph listed for this composition is 0 meV per atom.